No. 1
11
Lattice="-3.402 3.402 4.488 3.402 -3.402 4.488 3.402 3.402 -4.488" Properties=species:S:1:pos:R:3 comment="PBE-GGA PmGe4Pt6, relaxed" ef_ev_per_fu=-6.100 magnetic_moment_mub_per_cell=0.0 dft_energy_ev_per_atom=-5.960 pbc="T T T"
Pm 0.000 0.000 0.000
Ge 1.400 -1.400 3.064
Ge 2.001 2.001 1.424
Ge -1.400 1.400 3.064
Ge 1.400 1.400 5.913
Pt 3.402 0.000 0.000
Pt 2.340 2.340 -1.101
Pt 1.061 -1.061 5.589
Pt 0.000 3.402 0.000
Pt 1.061 1.061 3.388
Pt -1.061 1.061 5.589

No. 2
8
Lattice="6.229 0.000 0.000 0.000 4.379 0.000 -3.108 0.000 7.848" Properties=species:S:1:pos:R:3 comment="PBE-GGA Sm2SbPd, relaxed" magnetic_moment_mub_per_cell=0.0 raw_formation_energy_ev_per_atom=-0.938 dft_energy_ev_per_atom=-5.627 pbc="T T T"
Sm -0.067 1.095 3.482
Sm -1.426 1.095 7.131
Sm 4.547 3.284 0.717
Sm 3.188 3.284 4.366
Sb 1.381 3.284 1.608
Sb 1.740 1.095 6.240
Pd -0.096 3.284 5.542
Pd 3.218 1.095 2.306

No. 3
5
Lattice="4.071 0.000 0.000 0.000 4.071 0.000 0.000 0.000 4.071" Properties=species:S:1:pos:R:3 comment="PBE-GGA NaCu3B, relaxed" ef_ev_per_fu=0.974 magnetic_moment_mub_per_cell=0.0 dft_energy_ev_per_atom=-3.862 pbc="T T T"
Na 0.000 0.000 0.000
Cu 0.000 2.036 2.036
Cu 2.036 0.000 2.036
Cu 2.036 2.036 0.000
B 2.036 2.036 2.036

No. 4
16
Lattice="8.425 0.000 0.000 0.000 4.940 0.000 0.000 0.000 6.436" Properties=species:S:1:pos:R:3 comment="PBE-GGA AcGaH2, relaxed" magnetic_moment_mub_per_cell=0.0 dft_energy_ev_per_atom=-3.883 pbc="T T T"
Ac 1.551 1.235 0.904
Ac 2.661 3.705 4.122
Ac 5.764 1.235 2.314
Ac 6.874 3.705 5.532
Ga 0.266 1.235 4.004
Ga 3.946 3.705 0.786
Ga 4.479 1.235 5.650
Ga 8.159 3.705 2.432
H 0.708 0.005 5.305
H 0.708 2.465 5.305
H 3.504 2.475 2.087
H 3.504 4.934 2.087
H 4.921 0.005 4.349
H 4.921 2.465 4.349
H 7.717 2.475 1.131
H 7.717 4.934 1.131

No. 5
4
Lattice="0.000 3.448 3.448 3.448 0.000 3.448 3.448 3.448 0.000" Properties=species:S:1:pos:R:3 comment="PBE-GGA CeSmCoRh, relaxed" ef_ev_per_fu=-1.400 magnetic_moment_mub_per_cell=0.4 dft_energy_ev_per_atom=-6.628 pbc="T T T"
Ce 0.000 0.000 0.000
Sm 3.448 3.448 3.448
Co 1.724 1.724 1.724
Rh 5.171 5.171 5.171

No. 6
5
Lattice="-2.436 2.436 6.720 2.436 -2.436 6.720 2.436 2.436 -6.720" Properties=species:S:1:pos:R:3 comment="PBE-GGA BaCa2Au2, relaxed" ef_ev_per_fu=-3.100 magnetic_moment_mub_per_cell=0.0 dft_energy_ev_per_atom=-3.116 pbc="T T T"
Ba 0.000 0.000 0.000
Ca 2.436 0.000 3.360
Ca 0.000 2.436 3.360
Au 0.000 0.000 5.248
Au 0.000 0.000 8.192

No. 7
3
Lattice="3.777 0.000 0.000 -1.888 3.271 0.000 0.000 0.000 5.692" Properties=species:S:1:pos:R:3 comment="PBE-GGA PmYF, relaxed" magnetic_moment_mub_per_cell=0.0 raw_formation_energy_ev_per_atom=-1.547 dft_energy_ev_per_atom=-5.909 pbc="T T T"
Pm 0.000 0.000 0.000
Y 1.888 1.090 2.825
F 0.000 2.180 4.178

No. 8
4
Lattice="4.567 -1.438 0.000 4.567 1.438 0.000 -1.033 0.000 4.931" Properties=species:S:1:pos:R:3 comment="PBE-GGA InMoRu2, relaxed" ef_ev_per_fu=0.834 magnetic_moment_mub_per_cell=0.0 dft_energy_ev_per_atom=-7.822 pbc="T T T"
In 0.000 0.000 0.000
Mo 4.050 0.000 2.466
Ru 1.448 0.000 3.532
Ru 6.653 0.000 1.399